DFT (PBE) results for Tb2SmPuP4 after structural relaxation.

abc: 6.9824 4.0454 6.9882
angles: 90.00 109.50 90.00
Positions (direct):
Tb 0.0000 0.0000 0.0000
Tb 0.0000 0.5000 0.5000
Sm 0.5000 0.0000 0.5000
Pu 0.5000 0.5000 0.0000
P 0.2488 0.5000 0.2446
P 0.2526 0.0000 0.7560
P 0.7474 0.0000 0.2440
P 0.7512 0.5000 0.7554

Properties
VASP energy (eV per atom): -7.72
Energy relative to the elements (meV/atom): -1475